<A>
## La3NdNi (GGA-PBE)

Data for a geometry-optimized La3NdNi structure.

abc: 5.5736 5.5736 5.5736
angles: 90.00 90.00 90.00
Fractional positions:
La: 0.0000 0.0000 0.5000
La: 0.0000 0.5000 0.0000
La: 0.5000 0.0000 0.0000
Nd: 0.5000 0.5000 0.5000
Ni: 0.0000 0.0000 0.0000

Computed properties:
The density of states at the Fermi level comes out at 11.4 states/eV per cell. Its crystal system is cubic.

<B>
## La3NdNi (GGA-PBE)

Data for a geometry-optimized La3NdNi structure.

abc: 6.4440 6.4440 14.3926
angles: 111.64 111.64 34.38
Fractional positions:
La: 0.0000 0.0000 0.0000
La: 0.9997 0.9997 0.3736
La: 0.3205 0.3205 0.4771
La: 0.4421 0.4421 0.7568
La: 0.6517 0.6517 0.6159
La: 0.6536 0.6536 0.2415
Nd: 0.2110 0.2110 0.8598
Nd: 0.3306 0.3306 0.1346
Ni: 0.6776 0.6776 0.9955
Ni: 0.9712 0.9712 0.6205

Computed properties:
The density of states at the Fermi level comes out at 15.0 states/eV per cell. Its crystal system is monoclinic.

<C>
## La3NdNi (GGA-PBE)

Data for a geometry-optimized La3NdNi structure.

abc: 6.3496 7.8287 6.7472
angles: 90.00 90.00 90.00
Fractional positions:
La: 0.0000 0.0000 0.0000
La: 0.0031 0.2496 0.5274
La: 0.0031 0.7504 0.5274
La: 0.4986 0.5000 0.7011
La: 0.5035 0.2502 0.1738
La: 0.5035 0.7498 0.1738
Nd: 0.0124 0.5000 0.0047
Nd: 0.5135 0.0000 0.6967
Ni: 0.2539 0.0000 0.3519
Ni: 0.7534 0.5000 0.3504

Computed properties:
The density of states at the Fermi level comes out at 15.3 states/eV per cell. Its crystal system is monoclinic.

Most stable pick: <B>. Distance to second place: 77 meV per atom.